VASP calculation (GGA-PBE) on a relaxed NaGaC crystal.

The formation energy is 275 meV/atom. The density comes out at 3.55 g cm⁻³. The calculation puts the total energy at -0.3123 Ry per atom.

The space group is Cmcm (No. 63) and the conventional cell measures 3.492, 21.125 and 2.658 Å, with angles of 90.00, 90.00 and 90.00 degrees. The distinct sites, in fractional coordinates, are Na at (0.000, 0.086, 0.250), Ga at (0.000, 0.293, 0.750) and C at (0.000, 0.491, 0.250).